# PmDyPt10

A geometry-optimized PmDyPt10 structure (GGA-PBE, Alexandria).

symmetry: Pmmm (47)
M_tot: 0.0 μB/f.u.
E: -6.51 eV/atom

Structure (POSCAR):
```
PmDyPt10
1.0
-2.801 1.139 3.270
0.062 -5.075 1.822
7.223 2.052 5.472
Pt Dy Pm
10 1 1
direct
0.000 0.500 0.830
0.500 0.749 0.749
0.000 0.000 0.664
0.000 0.500 0.170
0.500 0.251 0.251
0.500 0.000 0.500
0.000 0.000 0.336
0.500 0.749 0.251
0.500 0.251 0.749
0.500 0.500 0.000
0.000 0.500 0.500
0.000 0.000 0.000
```